# 1
## AlZn2Cu (GGA-PBEsol)

Data for a relaxed AlZn2Cu crystal.

The total energy comes out at -11.731 eV/f.u. As for the formation energy: -0.0353 eV per atom. The calculation puts the density of states at the Fermi level at 1.2 states/eV/f.u.

The space group is I-4m2 (No. 119) and the conventional cell measures 3.786, 3.786 and 7.580 Å, with angles of 90.00, 90.00 and 90.00 degrees. The asymmetric unit holds Al at (0.000, 0.000, 0.000), Zn at (0.000, 0.000, 0.500), Zn at (0.000, 0.500, 0.750) and Cu at (0.000, 0.500, 0.250).



# 2
## TaMn2Ni (GGA-PBEsol)

Data for a relaxed TaMn2Ni crystal.

The total energy comes out at -38.153 eV/f.u. For the excess energy over the best structure of this formula in the dataset, the calculation gives 0 meV/atom. As for the formation energy: 0.0194 eV per atom. The calculation puts the density of states at the Fermi level at 4.6 states/eV/f.u.

The space group is P4mm (No. 99) and the conventional cell measures 3.027, 3.027 and 5.486 Å, with angles of 90.00, 90.00 and 90.00 degrees. The asymmetric unit holds Ta at (0.000, 0.000, 0.000), Mn at (0.000, 0.000, 0.496), Mn at (0.500, 0.500, 0.268) and Ni at (0.500, 0.500, 0.735).



# 3
## Ca2Ag2Au (GGA-PBEsol)

Data for a relaxed Ca2Ag2Au crystal.

The total energy comes out at -16.629 eV/f.u. As for the formation energy: -0.3632 eV per atom. The calculation puts the density of states at the Fermi level at 2.2 states/eV/f.u.

The space group is P4/mbm (No. 127) and the conventional cell measures 7.431, 7.431 and 4.125 Å, with angles of 90.00, 90.00 and 90.00 degrees. The asymmetric unit holds Ca at (0.177, 0.323, 0.000), Ag at (0.129, 0.629, 0.500) and Au at (0.000, 0.000, 0.500).



# 4
## CoGeAs2Se (GGA-PBEsol)

Data for a relaxed CoGeAs2Se crystal.

The formation energy without anion corrections comes out at 585 kJ/mol of formula units. The total energy comes out at -20.676 eV/f.u. The calculation puts the density of states at the Fermi level at 6.9 states/eV/f.u.

The space group is P4/mmm (No. 123) and the conventional cell measures 4.781, 4.781 and 4.884 Å, with angles of 90.00, 90.00 and 90.00 degrees. The asymmetric unit holds Co at (0.000, 0.000, 0.000), Ge at (0.500, 0.500, 0.500), As at (0.000, 0.500, 0.500) and Se at (0.500, 0.500, 0.000).



# 5
## ZnCd (GGA-PBEsol)

Data for a relaxed ZnCd crystal.

The total energy comes out at -2.561 eV/f.u. As for the formation energy: 0.1089 eV per atom. The calculation puts the density of states at the Fermi level at 0.5 states/eV/f.u.

The space group is Cmmm (No. 65) and the conventional cell measures 2.812, 5.420 and 4.768 Å, with angles of 90.00, 90.00 and 90.00 degrees. The asymmetric unit holds Zn at (0.000, 0.000, 0.000) and Cd at (0.000, 0.500, 0.500).



# 6
## Fe3BIr (GGA-PBEsol)

Data for a relaxed Fe3BIr crystal.

The total energy comes out at -42.997 eV/f.u. As for the formation energy: 0.1467 eV per atom. The calculation puts the density of states at the Fermi level at 5.4 states/eV/f.u.

The space group is Pm-3m (No. 221) and the conventional cell measures 3.775, 3.775 and 3.775 Å, with angles of 90.00, 90.00 and 90.00 degrees. The asymmetric unit holds Fe at (0.000, 0.000, 0.500), B at (0.000, 0.000, 0.000) and Ir at (0.500, 0.500, 0.500).



# 7
## TePb2 (GGA-PBEsol)

Data for a relaxed TePb2 crystal.

The formation energy without anion corrections comes out at -33 kJ/mol of formula units. The total energy comes out at -11.866 eV/f.u. For the excess energy over the best structure of this formula in the dataset, the calculation gives 0 meV/atom. The calculation puts the density of states at the Fermi level at 1.3 states/eV/f.u.

The space group is Cmcm (No. 63) and the conventional cell measures 3.980, 16.660 and 5.369 Å, with angles of 90.00, 90.00 and 90.00 degrees. The asymmetric unit holds Te at (0.000, 0.088, 0.250), Pb at (0.000, 0.262, 0.750) and Pb at (0.000, 0.420, 0.250).



# 8
## BaTc2IrC (GGA-PBEsol)

Data for a relaxed BaTc2IrC crystal.

The total energy comes out at -24.937 eV/f.u. As for the formation energy: 3.8423 eV per atom. The calculation puts the density of states at the Fermi level at 7.8 states/eV/f.u.

The space group is P4/mmm (No. 123) and the conventional cell measures 4.851, 4.851 and 4.270 Å, with angles of 90.00, 90.00 and 90.00 degrees. The asymmetric unit holds Ba at (0.000, 0.000, 0.000), Tc at (0.000, 0.500, 0.000), Ir at (0.500, 0.500, 0.500) and C at (0.000, 0.000, 0.500).



# 9
## TmP5 (GGA-PBEsol)

Data for a relaxed TmP5 crystal.

The total energy comes out at -37.087 eV/f.u. As for the formation energy: -0.5385 eV per atom. The calculation puts the density of states at the Fermi level at 0.3 states/eV/f.u.

The space group is P2_1/m (No. 11) and the conventional cell measures 4.825, 9.264 and 5.245 Å, with angles of 90.00, 102.99 and 90.00 degrees. The asymmetric unit holds Tm at (0.007, 0.250, 0.349), P at (0.264, 0.250, 0.894), P at (0.279, 0.530, 0.405) and P at (0.381, 0.594, 0.040).



# 10
## Y2Mn3 (GGA-PBEsol)

Data for a relaxed Y2Mn3 crystal.

The total energy comes out at -42.137 eV/f.u. As for the formation energy: 0.1582 eV per atom. The calculation puts the density of states at the Fermi level at 5.7 states/eV/f.u.

The space group is R-3m (No. 166, hexagonal axes) and the conventional cell measures 3.8495, 3.8495 and 23.6543 Å, with angles of 90.00, 90.00 and 120.00 degrees. The asymmetric unit holds Y at (0.0000, 0.0000, 0.2332), Mn at (0.0000, 0.0000, 0.0000) and Mn at (0.0000, 0.0000, 0.3509).



# 11
## Cd2AgAu (GGA-PBEsol)

Data for a relaxed Cd2AgAu crystal.

The total energy comes out at -10.012 eV/f.u. For the excess energy over the best structure of this formula in the dataset, the calculation gives 47 meV/atom. As for the formation energy: -0.0958 eV per atom. The calculation puts the density of states at the Fermi level at 1.2 states/eV/f.u.

The space group is Pmm2 (No. 25) and the conventional cell measures 2.944, 4.185 and 5.895 Å, with angles of 90.00, 90.00 and 90.00 degrees. The asymmetric unit holds Cd at (0.000, 0.000, 0.000), Cd at (0.500, 0.500, 0.277), Ag at (0.000, 0.000, 0.512) and Au at (0.500, 0.500, 0.765).



# 12
## TcHg3Au (GGA-PBEsol)

Data for a relaxed TcHg3Au crystal.

The total energy comes out at -11.337 eV/f.u. As for the formation energy: 1.1108 eV per atom. The calculation puts the density of states at the Fermi level at 3.2 states/eV/f.u.

The space group is Pm-3m (No. 221) and the conventional cell measures 5.172, 5.172 and 5.172 Å, with angles of 90.00, 90.00 and 90.00 degrees. The asymmetric unit holds Tc at (0.000, 0.000, 0.000), Hg at (0.000, 0.000, 0.500) and Au at (0.500, 0.500, 0.500).